A plane-wave DFT calculation with GGA-PBE was carried out for a relaxed structure of MgMnCdAg.

Computed properties:
Fermi-level density of states = 0.4171 states/eV/atom
ΔE_f = 0.23 eV per formula unit
electronic total energy = -3.574 eV/atom

Cell: 6.6317 6.6317 6.6317 Å, 90.00 90.00 90.00°
Space group F-43m (No. 216)
Asymmetric unit:
Mg1 0.0000 0.0000 0.0000 x4
Mn1 0.0000 0.0000 0.5000 x4
Cd1 0.2500 0.2500 0.7500 x4
Ag1 0.2500 0.2500 0.2500 x4

***

A plane-wave DFT calculation with GGA-PBE was carried out for a relaxed structure of CrInCu2.

Computed properties:
Fermi-level density of states = 0.5312 states/eV/atom
ΔE_f = 1.02 eV per formula unit
electronic total energy = -4.884 eV/atom

Cell: 3.0621 3.0621 6.5454 Å, 90.00 90.00 90.00°
Space group P4mm (No. 99)
Asymmetric unit:
Cr1 0.0000 0.0000 0.0000 x1
In1 0.5000 0.5000 0.7006 x1
Cu1 0.0000 0.0000 0.4252 x1
Cu2 0.5000 0.5000 0.2280 x1

***

A plane-wave DFT calculation with GGA-PBE was carried out for a relaxed structure of LiB2.

Computed properties:
Fermi-level density of states = 0.1111 states/eV/atom
ΔE_f = -0.19 eV per formula unit
polymorph energy (0 for the lowest one) = 42 meV per atom
electronic total energy = -5.153 eV/atom

Cell: 8.4473 2.9734 4.7332 Å, 90.00 122.51 90.00°
Space group C2/m (No. 12)
Asymmetric unit:
Li1 0.1113 0.0000 0.3171 x4
B1 0.1065 0.5000 0.6838 x4
B2 0.2166 0.0000 0.8788 x4